[1]
First-principles (PBEsol) data for a geometry-optimized ScAlI3 structure, as listed in the Alexandria database.

Properties
VASP energy = -18.09 eV/cell
N(E_F) = 4.1 states/eV/f.u.
V = 179.3 Å³ per cell
Space group = No. 221

Cell lengths 5.6384, 5.6384, 5.6384 Å; angles 90.00, 90.00, 90.00 degrees
Last column: nearest neighbours and their distance in Å.
Sites, in units of the cell vectors:
Sc  0.0000  0.0000  0.0000  6 I 2.82
Al  0.5000  0.5000  0.5000  12 I 3.99
I  0.0000  0.0000  0.5000  2 Sc 2.82
I  0.0000  0.5000  0.0000  2 Sc 2.82
I  0.5000  0.0000  0.0000  2 Sc 2.82

[2]
First-principles (PBEsol) data for a geometry-optimized LuInRh structure, as listed in the Alexandria database.

Properties
Energy relative to the elements = -73.7 kJ/mol of atoms
N(E_F) = 1.4 states/eV/f.u.
V = 236.2 Å³ per cell
Space group = No. 62

Cell lengths 6.8395, 4.1063, 8.4093 Å; angles 90.00, 90.00, 90.00 degrees
Last column: nearest neighbours and their distance in Å.
Sites, in units of the cell vectors:
Lu  0.0396  0.2500  0.1756  5 Rh 2.84-3.01, 2 In 3.15
Lu  0.4604  0.7500  0.6756  5 Rh 2.84-3.01, 2 In 3.15
Lu  0.5396  0.2500  0.3244  5 Rh 2.84-3.01, 2 In 3.15
Lu  0.9604  0.7500  0.8244  5 Rh 2.84-3.01, 2 In 3.15
In  0.1419  0.2500  0.5604  4 Rh 2.68-2.80
In  0.3581  0.7500  0.0604  4 Rh 2.68-2.80
In  0.6419  0.2500  0.9396  4 Rh 2.68-2.80
In  0.8581  0.7500  0.4396  4 Rh 2.68-2.80
Rh  0.2416  0.2500  0.8682  4 In 2.68-2.80, 3 Lu 2.84-2.93
Rh  0.2584  0.7500  0.3682  4 In 2.68-2.80, 3 Lu 2.84-2.93
Rh  0.7416  0.2500  0.6318  4 In 2.68-2.80, 3 Lu 2.84-2.93
Rh  0.7584  0.7500  0.1318  4 In 2.68-2.80, 3 Lu 2.84-2.93

[3]
First-principles (PBEsol) data for a geometry-optimized NaRuS2Cl structure, as listed in the Alexandria database.

Properties
VASP energy = -16.24 eV/cell
N(E_F) = 6.5 states/eV/f.u.
V = 107.9 Å³ per cell
Space group = No. 123

Cell lengths 4.7889, 4.7889, 4.7042 Å; angles 90.00, 90.00, 90.00 degrees
Last column: nearest neighbours and their distance in Å.
Sites, in units of the cell vectors:
Na  0.0000  0.0000  0.0000  2 Cl 2.35, 4 S 2.39
Ru  0.5000  0.5000  0.5000  8 S 3.36, 4 Cl 3.39
S  0.0000  0.5000  0.0000  2 Na 2.39
S  0.5000  0.0000  0.0000  2 Na 2.39
Cl  0.0000  0.0000  0.5000  2 Na 2.35